(1)
The following is a DFT calculation (PBE) of a geometry-optimized Ce4Pb2S9 structure.

Calculated values
DOS(E_F): 28.238 states/eV/cell
density: 4.929 g/cm³
E_tot: -6.049 eV per atom
space group: C2/c

Cell lengths 7.2176, 7.2176, 18.8713 Å; angles 90.00, 90.00, 60.00 degrees
Sites, in units of the cell vectors:
Ce  0.1663  0.1670  0.3143
Ce  0.1670  0.1663  0.8143
Ce  0.1666  0.1667  0.0195
Ce  0.1667  0.1666  0.5195
Ce  0.8333  0.8334  0.4805
Ce  0.8334  0.8333  0.9805
Ce  0.8330  0.8337  0.1857
Ce  0.8337  0.8330  0.6857
Pb  0.4997  0.5003  0.1479
Pb  0.4997  0.5003  0.3521
Pb  0.5003  0.4997  0.6479
Pb  0.5003  0.4997  0.8521
S  0.1073  0.5384  0.5819
S  0.1068  0.8547  0.0820
S  0.1453  0.8932  0.4180
S  0.1457  0.4614  0.9180
S  0.1868  0.5005  0.2502
S  0.1876  0.8124  0.7500
S  0.4614  0.1457  0.4180
S  0.4616  0.8927  0.9181
S  0.4995  0.8132  0.2498
S  0.5005  0.1868  0.7502
S  0.5384  0.1073  0.0819
S  0.5386  0.8543  0.5820
S  0.8124  0.1876  0.2500
S  0.8132  0.4995  0.7498
S  0.8543  0.5386  0.0820
S  0.8547  0.1068  0.5820
S  0.8932  0.1453  0.9180
S  0.8927  0.4616  0.4181


(2)
The following is a DFT calculation (PBE) of a geometry-optimized Sn3As2Au structure.

Calculated values
DOS(E_F): 1.986 states/eV/cell
density: 8.046 g/cm³
E_form: -0.6 eV per formula unit
E_tot: -4.191 eV per atom
space group: Immm

Cell lengths 7.0992, 7.0992, 7.0992 Å; angles 146.50, 132.16, 59.66 degrees
Sites, in units of the cell vectors:
Sn  0.0000  0.0000  0.0000
Sn  0.3332  0.3332  0.0000
Sn  0.6668  0.6668  0.0000
As  0.1706  0.6706  0.5000
As  0.8294  0.3294  0.5000
Au  0.5000  0.0000  0.5000


(3)
The following is a DFT calculation (PBE) of a geometry-optimized Zr2TiBi2 structure.

Calculated values
DOS(E_F): 9.393 states/eV/cell
energy relative to the lowest polymorph listed for this composition: 258 meV/atom
density: 8.682 g/cm³
E_form: 0.5 eV per formula unit
E_tot: -6.442 eV per atom
space group: P4/mbm

Cell lengths 8.0016, 8.0016, 3.8730 Å; angles 90.00, 90.00, 90.00 degrees
Sites, in units of the cell vectors:
Zr  0.1366  0.3634  0.0000
Zr  0.3634  0.8634  0.0000
Zr  0.6366  0.1366  0.0000
Zr  0.8634  0.6366  0.0000
Ti  0.0000  0.0000  0.0000
Ti  0.5000  0.5000  0.0000
Bi  0.1650  0.6650  0.5000
Bi  0.3350  0.1650  0.5000
Bi  0.6650  0.8350  0.5000
Bi  0.8350  0.3350  0.5000


(4)
The following is a DFT calculation (PBE) of a geometry-optimized SrTbHg structure.

Calculated values
DOS(E_F): 2.713 states/eV/cell
energy relative to the lowest polymorph listed for this composition: 118 meV/atom
density: 7.252 g/cm³
E_form: -0.5 eV per formula unit
E_tot: -2.359 eV per atom
space group: P3m1

Cell lengths 5.2814, 5.2814, 4.2387 Å; angles 90.00, 90.00, 120.00 degrees
Sites, in units of the cell vectors:
Sr  0.0000  0.0000  0.0000
Tb  0.3333  0.6667  0.4997
Hg  0.6667  0.3333  0.5019